Entry 1:
Compound: ThH8PdRu2
Source: Alexandria
Functional: GGA-PBE
Structure: optimized geometry

Cell: 4.6367 4.6367 6.9035 Å, 90.00 90.00 120.00°
Space group P-3m1 (No. 164)
Asymmetric unit:
Th1 0.0000 0.0000 0.0000 [1 per cell]
H1 0.1318 0.2635 0.2915 [6 per cell]
H2 0.3333 0.6667 0.0522 [2 per cell]
Pd1 0.0000 0.0000 0.5000 [1 per cell]
Ru1 0.3333 0.6667 0.2930 [2 per cell]

Values from the calculation:
Its total magnetic moment is 0.00 μB/cell. The volume comes out at 129 Å³/cell. The value obtained for the total DFT energy (no corrections) is -56.99 eV/cell.

Entry 2:
Compound: KDy3Ag2Te6
Source: Alexandria
Functional: GGA-PBE
Structure: optimized geometry

Cell: 22.242 4.527 9.466 Å, 90.00 113.04 90.00°
Space group C2/m (No. 12)
Asymmetric unit:
K1 0.000 0.000 0.000 [2 per cell]
Dy1 0.000 0.000 0.500 [2 per cell]
Dy2 0.165 0.500 0.802 [4 per cell]
Ag1 0.232 0.500 0.201 [4 per cell]
Te1 0.020 0.500 0.736 [4 per cell]
Te2 0.148 0.000 0.563 [4 per cell]
Te3 0.171 0.000 0.050 [4 per cell]

Values from the calculation:
For the uncorrected formation energy, the calculation gives -1032 meV per atom. Its total magnetic moment is 0.00 μB/cell. The volume comes out at 877 Å³/cell.

Entry 3:
Compound: Sm6AlCd3
Source: Alexandria
Functional: GGA-PBE
Structure: optimized geometry

Cell: 9.409 5.336 11.810 Å, 90.00 107.42 90.00°
Space group P2_1/m (No. 11)
Asymmetric unit:
Sm1 0.033 0.250 0.411 [2 per cell]
Sm2 0.162 0.750 0.172 [2 per cell]
Sm3 0.261 0.250 0.002 [2 per cell]
Sm4 0.349 0.750 0.820 [2 per cell]
Sm5 0.370 0.250 0.340 [2 per cell]
Sm6 0.399 0.250 0.626 [2 per cell]
Al1 0.456 0.750 0.103 [2 per cell]
Cd1 0.029 0.750 0.876 [2 per cell]
Cd2 0.114 0.250 0.720 [2 per cell]
Cd3 0.271 0.750 0.471 [2 per cell]

Values from the calculation:
Its total magnetic moment is 0.00 μB/cell. The volume comes out at 566 Å³/cell. The calculation puts the formation energy at -0.237 eV/atom.

Entry 4:
Compound: SrCd2Te
Source: Alexandria
Functional: GGA-PBE
Structure: optimized geometry

Cell: 5.0597 5.0597 17.2805 Å, 90.00 90.00 120.00°
Space group R3m (No. 160, hexagonal axes)
Asymmetric unit:
Sr1 0.0000 0.0000 0.0000 [3 per cell]
Cd1 0.0000 0.0000 0.2279 [3 per cell]
Cd2 0.0000 0.0000 0.5382 [3 per cell]
Te1 0.0000 0.0000 0.7704 [3 per cell]

Values from the calculation:
For the uncorrected formation energy, the calculation gives -552 meV per atom. Its total magnetic moment is 0.00 μB/cell. The volume comes out at 383 Å³/cell.

Entry 5:
Compound: Zr2AlCl
Source: Alexandria
Functional: GGA-PBE
Structure: optimized geometry

Cell: 3.147 5.000 5.438 Å, 90.00 106.58 90.00°
Space group Pm (No. 6)
Asymmetric unit:
Zr1 0.000 0.000 0.000 [1 per cell]
Zr2 0.303 0.500 0.608 [1 per cell]
Al1 0.572 0.500 0.138 [1 per cell]
Cl1 0.298 0.000 0.592 [1 per cell]

Values from the calculation:
For the uncorrected formation energy, the calculation gives -481 meV per atom. The calculation puts the energy relative to the lowest polymorph listed for this composition at 97 meV per atom. Its total magnetic moment is 0.00 μB/cell. The volume comes out at 82 Å³/cell.

Entry 6:
Compound: Ac12ErPb7
Source: Alexandria
Functional: GGA-PBE
Structure: optimized geometry

Cell: 16.4403 16.4403 9.9442 Å, 90.00 90.00 120.00°
Space group R-3 (No. 148, hexagonal axes)
Asymmetric unit:
Ac1 0.0292 0.2499 0.3821 [18 per cell]
Ac2 0.0775 0.5728 0.6526 [18 per cell]
Er1 0.0000 0.0000 0.5000 [3 per cell]
Pb1 0.0000 0.0000 0.0000 [3 per cell]
Pb2 0.0151 0.1642 0.7062 [18 per cell]

Values from the calculation:
Its total magnetic moment is 0.00 μB/cell. The volume comes out at 2328 Å³/cell. The calculation puts the formation energy at -0.298 eV/atom.

Entry 7:
Compound: Li2TaAs
Source: Alexandria
Functional: GGA-PBE
Structure: optimized geometry

Cell: 3.421 4.752 8.794 Å, 90.00 90.00 90.00°
Space group Cmm2 (No. 35)
Asymmetric unit:
Li1 0.000 0.000 0.000 [2 per cell]
Li2 0.000 0.500 0.287 [2 per cell]
Ta1 0.000 0.500 0.740 [2 per cell]
As1 0.000 0.000 0.513 [2 per cell]

Values from the calculation:
Its total magnetic moment is 0.00 μB/cell. The volume comes out at 143 Å³/cell. The calculation puts the formation energy at -0.041 eV/atom.

Entry 8:
Compound: Er6TmZr
Source: Alexandria
Functional: GGA-PBE
Structure: optimized geometry

Cell: 6.239 6.251 9.281 Å, 71.00 71.16 60.13°
Space group P-1 (No. 2)
Asymmetric unit:
Er1 0.059 0.436 0.310 [2 per cell]
Er2 0.313 0.941 0.688 [2 per cell]
Er3 0.434 0.687 0.314 [2 per cell]
Tm1 0.500 0.500 0.000 [1 per cell]
Zr1 0.000 0.000 0.500 [1 per cell]

Values from the calculation:
Its total magnetic moment is 0.83 μB/cell. The volume comes out at 291 Å³/cell. The calculation puts the formation energy at 0.682 eV/atom.

total magnetic moment of number 3 (Sm6AlCd3)?
0.00 μB/cell

What is the total magnetic moment in the eighth record?
0.83 μB/cell